## LaSm2Rh9 (PBE-GGA)

Data for a relaxed structure of LaSm2Rh9.

Values from the calculation:
Theoretical density (Mg/m³): 10.45
Total energy (eV/f.u.): -87.0
Calculated formation energy (meV per atom): -538

Cell and atoms, written as CIF:
```
data_LaSm2Rh9
_chemical_formula_sum 'La3 Sm6 Rh27'
_cell_length_a 5.3262
_cell_length_b 5.3262
_cell_length_c 26.5065
_cell_angle_alpha 90.00
_cell_angle_beta 90.00
_cell_angle_gamma 120.00
_space_group_name_H-M_alt 'R -3 m'
_space_group_IT_number 166
_space_group_name_Hall '-R 3 2"'
loop_
_atom_site_label
_atom_site_type_symbol
_atom_site_fract_x
_atom_site_fract_y
_atom_site_fract_z
_atom_site_occupancy
La1 La 0.0000 0.0000 0.0000 1
Sm1 Sm 0.0000 0.0000 0.1391 1
Rh1 Rh 0.0000 0.0000 0.3328 1
Rh2 Rh 0.0000 0.0000 0.5000 1
Rh3 Rh 0.0004 0.5002 0.0826 1
```